No. 1
{"formula": "Mg2MoPb", "functional": "GGA-PBE", "state": "optimized geometry", "lattice": [[-3.949, -0.420, -1.279], [0.557, -3.010, -0.732], [-1.098, -4.719, 4.943]], "species": ["Mg", "Mg", "Mo", "Pb"], "frac_coords": [[0.000, 0.976, 0.026], [0.000, 0.524, 0.474], [0.500, 0.250, 0.250], [0.500, 0.750, 0.750]], "formation_energy_mev_per_atom": 377.9, "magmom_total_mub_per_cell": 0.0, "crystal_system": "monoclinic"}

---

No. 2
{"formula": "Tl16Hg12Bi", "functional": "GGA-PBE", "state": "optimized geometry", "lattice": [[-8.034, -0.733, -6.091], [6.782, 5.737, -4.825], [4.179, -10.107, 2.743]], "species": ["Hg", "Hg", "Hg", "Hg", "Hg", "Hg", "Hg", "Hg", "Hg", "Hg", "Hg", "Hg", "Tl", "Tl", "Tl", "Tl", "Tl", "Tl", "Tl", "Tl", "Tl", "Tl", "Tl", "Tl", "Tl", "Tl", "Tl", "Tl", "Bi"], "frac_coords": [[0.982, 0.356, 0.168], [0.815, 0.815, 0.166], [0.198, 0.808, 0.809], [0.616, 0.616, 0.809], [0.378, 0.192, 0.009], [0.199, 0.998, 0.362], [0.634, 0.826, 0.656], [0.998, 0.199, 0.362], [0.192, 0.378, 0.009], [0.356, 0.982, 0.168], [0.808, 0.198, 0.809], [0.826, 0.634, 0.656], [0.411, 0.666, 0.003], [0.398, 0.002, 0.690], [0.639, 0.001, 0.002], [0.588, 0.273, 0.589], [0.666, 0.411, 0.003], [0.333, 0.717, 0.333], [0.293, 0.293, 0.687], [0.994, 0.994, 0.668], [0.000, 0.000, 0.998], [0.717, 0.333, 0.333], [0.002, 0.398, 0.690], [0.273, 0.588, 0.589], [0.001, 0.639, 0.002], [0.002, 0.692, 0.387], [0.692, 0.002, 0.387], [0.362, 0.362, 0.343], [0.630, 0.630, 0.317]], "formation_energy_mev_per_atom": -3.7, "magmom_total_mub_per_cell": 0.0, "crystal_system": "monoclinic"}